{"formula": "LiPrTl6", "functional": "PBE-GGA", "state": "optimized geometry", "lattice_angstrom": [[4.825, 0.000, 0.000], [0.000, 6.805, -0.039], [0.000, 0.048, 6.805]], "species": ["Li", "Pr", "Tl", "Tl", "Tl", "Tl", "Tl", "Tl"], "fractional_positions": [[0.500, 0.500, 0.500], [0.500, 0.000, 0.000], [0.000, 0.744, 0.256], [0.000, 0.256, 0.744], [0.000, 0.745, 0.745], [0.000, 0.255, 0.255], [0.500, 0.500, 0.000], [0.500, 0.000, 0.500]], "dft_energy_ev_per_fu": -22.10}

=====

{"formula": "GePb2AuF", "functional": "PBE-GGA", "state": "optimized geometry", "lattice_angstrom": [[-4.162, 0.619, -3.734], [-2.479, -2.004, 2.432], [-1.490, 4.833, 2.463]], "species": ["Pb", "Pb", "Ge", "Au", "F"], "fractional_positions": [[0.000, 0.000, 0.500], [0.500, 0.000, 0.000], [0.000, 0.000, 0.000], [0.500, 0.500, 0.500], [0.000, 0.500, 0.000]], "dft_energy_ev_per_fu": -18.63, "formation_energy_uncorrected_ev_per_atom": -0.290}

=====

{"formula": "TcNi2Pt", "functional": "PBE-GGA", "state": "optimized geometry", "lattice_angstrom": [[-1.570, -0.561, 4.203], [0.448, -4.373, 1.057], [2.998, 2.953, -1.655]], "species": ["Ni", "Ni", "Pt", "Tc"], "fractional_positions": [[0.000, 0.000, 0.000], [0.500, 0.500, 0.000], [0.250, 0.750, 0.500], [0.750, 0.250, 0.500]], "dft_energy_ev_per_fu": -28.06, "e_above_lowest_polymorph_ev_per_atom": 0.058}

=====

{"formula": "BaTeI2N", "functional": "PBE-GGA", "state": "optimized geometry", "lattice_angstrom": [[-6.452, 0.477, 1.899], [1.044, -4.694, 4.726], [1.089, 3.169, 2.906]], "species": ["I", "I", "Te", "Ba", "N"], "fractional_positions": [[0.000, 0.500, 0.000], [0.500, 0.000, 0.000], [0.500, 0.500, 0.500], [0.000, 0.000, 0.000], [0.000, 0.000, 0.500]], "dft_energy_ev_per_fu": -13.44, "formation_energy_uncorrected_ev_per_atom": 0.609, "e_above_lowest_polymorph_ev_per_atom": 0.733}

=====

Calculated DOS at the Fermi energy in order - 4.3; 2.4; 4.8; 9.4 states/eV/f.u.